The following is a PBE+U calculation of crystalline MnPdO4 at its relaxed geometry, from the Alexandria database.

Its final energy is -74.5 eV/cell. For the volume, the calculation gives 13.060 Å³/atom. The value obtained for the offset from the most stable computed form is 0 meV per atom.

The space group is C2/m (No. 12) and the conventional cell measures 11.210, 3.011 and 5.228 Å, with angles of 90.00, 117.36 and 90.00 degrees. The inequivalent atoms are Mn at (0.000, 0.000, 0.000), Pd at (0.000, 0.500, 0.500), O at (0.097, 0.500, 0.251) and O at (0.099, 0.000, 0.776).